# 1
Entry from Alexandria via LeMat-Bulk: crystalline PmHo2In at its relaxed geometry (GGA-PBE).

Its crystal system is tetragonal. For the energy relative to the lowest polymorph listed for this composition, the calculation gives 0 meV/atom. The density of states at the Fermi level comes out at 5.98 states/eV/f.u. The electronic total energy is -4.4251 eV per atom.

The structure belongs to space group P4/mmm (No. 123); the cell edges are 4.882, 4.882 and 4.844 Å and the angles 90.00°, 90.00° and 90.00°. The distinct sites, in fractional coordinates, are Pm at (0.000, 0.000, 0.000), Ho at (0.000, 0.500, 0.500) and In at (0.500, 0.500, 0.000).

# 2
Entry from Alexandria via LeMat-Bulk: crystalline RbLiCaNb2 at its relaxed geometry (GGA-PBE).

Its crystal system is tetragonal. The density of states at the Fermi level comes out at 4.02 states/eV/f.u. The electronic total energy is -3.0017 eV per atom.

The structure belongs to space group P4/mmm (No. 123); the cell edges are 5.087, 5.087 and 6.236 Å and the angles 90.00°, 90.00° and 90.00°. The distinct sites, in fractional coordinates, are Rb at (0.000, 0.000, 0.000), Li at (0.500, 0.500, 0.000), Ca at (0.000, 0.000, 0.500) and Nb at (0.000, 0.500, 0.500).

# 3
Entry from Alexandria via LeMat-Bulk: crystalline PuAlGe at its relaxed geometry (GGA-PBE).

Its crystal system is tetragonal. The density of states at the Fermi level comes out at 4.64 states/eV/f.u. The electronic total energy is -7.7982 eV per atom.

The structure belongs to space group I4mm (No. 107); the cell edges are 3.359, 3.359 and 10.861 Å and the angles 90.00°, 90.00° and 90.00°. The distinct sites, in fractional coordinates, are Pu at (0.000, 0.000, 0.000), Al at (0.000, 0.000, 0.306) and Ge at (0.000, 0.000, 0.687).

# 4
Entry from Alexandria via LeMat-Bulk: crystalline Tb5NdSm8 at its relaxed geometry (GGA-PBE).

Its crystal system is tetragonal. The density of states at the Fermi level comes out at 20.99 states/eV/f.u. The electronic total energy is -4.4514 eV per atom.

The structure belongs to space group I-4 (No. 82); the cell edges are 9.617, 9.617 and 10.343 Å and the angles 90.00°, 90.00° and 90.00°. The distinct sites, in fractional coordinates, are Tb at (0.000, 0.000, 0.000), Tb at (0.110, 0.207, 0.573), Nd at (0.000, 0.500, 0.250), Sm at (0.071, 0.324, 0.898) and Sm at (0.086, 0.178, 0.247).

# 5
Entry from Alexandria via LeMat-Bulk: crystalline SiO2F at its relaxed geometry (GGA-PBE).

Its crystal system is cubic. For the energy relative to the lowest polymorph listed for this composition, the calculation gives 0 meV/atom. The value obtained for the formation energy from raw total energies is -1.884 eV per atom. The density of states at the Fermi level comes out at 5.52 states/eV/f.u. The electronic total energy is -6.1863 eV per atom.

The structure belongs to space group Fd-3m (No. 227, origin choice 2); the cell edges are 7.449, 7.449 and 7.449 Å and the angles 90.00°, 90.00° and 90.00°. The distinct sites, in fractional coordinates, are Si at (0.125, 0.125, 0.125), O at (0.000, 0.000, 0.000) and F at (0.125, 0.125, 0.625).

# 6
Entry from Alexandria via LeMat-Bulk: crystalline Cr2PSe at its relaxed geometry (GGA-PBE).

Its crystal system is trigonal. For the energy relative to the lowest polymorph listed for this composition, the calculation gives 0 meV/atom. The value obtained for the formation energy from raw total energies is -0.243 eV per atom. The density of states at the Fermi level comes out at 2.61 states/eV/f.u. The electronic total energy is -7.2780 eV per atom.

The structure belongs to space group R-3m (No. 166, hexagonal axes); the cell edges are 3.6001, 3.6001 and 17.7907 Å and the angles 90.00°, 90.00° and 120.00°. The distinct sites, in fractional coordinates, are Cr at (0.0000, 0.0000, 0.2388), P at (0.0000, 0.0000, 0.5000) and Se at (0.0000, 0.0000, 0.0000).

# 7
Entry from Alexandria via LeMat-Bulk: crystalline TbNdIr at its relaxed geometry (GGA-PBE).

Its crystal system is tetragonal. For the energy relative to the lowest polymorph listed for this composition, the calculation gives 122 meV/atom. The density of states at the Fermi level comes out at 3.23 states/eV/f.u. The electronic total energy is -6.5606 eV per atom.

The structure belongs to space group I4mm (No. 107); the cell edges are 3.533, 3.533 and 13.107 Å and the angles 90.00°, 90.00° and 90.00°. The distinct sites, in fractional coordinates, are Tb at (0.000, 0.000, 0.000), Nd at (0.000, 0.000, 0.251) and Ir at (0.000, 0.000, 0.619).

# 8
Entry from Alexandria via LeMat-Bulk: crystalline PaW2N6 at its relaxed geometry (GGA-PBE).

Its crystal system is monoclinic. The value obtained for the formation energy from raw total energies is -0.509 eV per atom. The density of states at the Fermi level comes out at 7.03 states/eV/f.u. The electronic total energy is -9.9924 eV per atom.

The structure belongs to space group C2/m (No. 12); the cell edges are 10.298, 3.839 and 7.030 Å and the angles 90.00°, 121.60° and 90.00°. The distinct sites, in fractional coordinates, are Pa at (0.000, 0.000, 0.000), W at (0.185, 0.000, 0.632), N at (0.033, 0.000, 0.701), N at (0.141, 0.500, 0.076) and N at (0.232, 0.500, 0.609).

# 9
Entry from Alexandria via LeMat-Bulk: crystalline Dy2Ho2Ga4Cu at its relaxed geometry (GGA-PBE).

Its crystal system is tetragonal. The density of states at the Fermi level comes out at 7.13 states/eV/f.u. The electronic total energy is -4.1784 eV per atom.

The structure belongs to space group I4/mmm (No. 139); the cell edges are 6.897, 6.897 and 8.546 Å and the angles 90.00°, 90.00° and 90.00°. The distinct sites, in fractional coordinates, are Dy at (0.000, 0.500, 0.250), Ho at (0.000, 0.000, 0.190), Ga at (0.242, 0.242, 0.500) and Cu at (0.000, 0.000, 0.500).

# 10
Entry from Alexandria via LeMat-Bulk: crystalline Gd2MgAg at its relaxed geometry (GGA-PBE).

Its crystal system is cubic. For the energy relative to the lowest polymorph listed for this composition, the calculation gives 36 meV/atom. The density of states at the Fermi level comes out at 4.65 states/eV/f.u. The electronic total energy is -8.3129 eV per atom.

The structure belongs to space group Fm-3m (No. 225); the cell edges are 7.469, 7.469 and 7.469 Å and the angles 90.00°, 90.00° and 90.00°. The distinct sites, in fractional coordinates, are Gd at (0.250, 0.250, 0.250), Mg at (0.000, 0.000, 0.000) and Ag at (0.000, 0.000, 0.500).

# 11
Entry from Alexandria via LeMat-Bulk: crystalline AlZnTe at its relaxed geometry (GGA-PBE).

Its crystal system is cubic. For the energy relative to the lowest polymorph listed for this composition, the calculation gives 224 meV/atom. The value obtained for the formation energy from raw total energies is 0.191 eV per atom. The density of states at the Fermi level comes out at 3.14 states/eV/f.u. The electronic total energy is -2.5280 eV per atom.

The structure belongs to space group F-43m (No. 216); the cell edges are 6.727, 6.727 and 6.727 Å and the angles 90.00°, 90.00° and 90.00°. The distinct sites, in fractional coordinates, are Al at (0.000, 0.000, 0.000), Zn at (0.250, 0.250, 0.750) and Te at (0.250, 0.250, 0.250).

# 12
Entry from Alexandria via LeMat-Bulk: crystalline MnNb3S6 at its relaxed geometry (GGA-PBE).

Its crystal system is trigonal. For the energy relative to the lowest polymorph listed for this composition, the calculation gives 359 meV/atom. The value obtained for the formation energy from raw total energies is -0.719 eV per atom. The density of states at the Fermi level comes out at 5.11 states/eV/f.u. The electronic total energy is -7.1329 eV per atom.

The structure belongs to space group R-3 (No. 148, hexagonal axes); the cell edges are 9.8966, 9.8966 and 12.7280 Å and the angles 90.00°, 90.00° and 120.00°. The distinct sites, in fractional coordinates, are Mn at (0.0000, 0.0000, 0.0000), Mn at (0.0000, 0.0000, 0.5000), Nb at (0.0192, 0.4424, 0.3883), S at (0.0292, 0.1923, 0.3633) and S at (0.0307, 0.8251, 0.1166).

# 13
Entry from Alexandria via LeMat-Bulk: crystalline K4BeNb2 at its relaxed geometry (GGA-PBE).

Its crystal system is tetragonal. The density of states at the Fermi level comes out at 5.64 states/eV/f.u. The electronic total energy is -2.7081 eV per atom.

The structure belongs to space group I4/mmm (No. 139); the cell edges are 6.775, 6.775 and 16.259 Å and the angles 90.00°, 90.00° and 90.00°. The distinct sites, in fractional coordinates, are K at (0.000, 0.000, 0.204), K at (0.000, 0.500, 0.000), Be at (0.000, 0.000, 0.000) and Nb at (0.000, 0.000, 0.435).

# 14
Entry from Alexandria via LeMat-Bulk: crystalline Zn2TePt at its relaxed geometry (GGA-PBE).

Its crystal system is orthorhombic. The value obtained for the formation energy from raw total energies is 0.008 eV per atom. The density of states at the Fermi level comes out at 1.36 states/eV/f.u. The electronic total energy is -2.9243 eV per atom.

The structure belongs to space group Pmmm (No. 47); the cell edges are 3.871, 4.202 and 4.447 Å and the angles 90.00°, 90.00° and 90.00°. The distinct sites, in fractional coordinates, are Zn at (0.000, 0.000, 0.000), Zn at (0.000, 0.500, 0.500), Te at (0.500, 0.000, 0.500) and Pt at (0.500, 0.500, 0.000).

# 15
Entry from Alexandria via LeMat-Bulk: crystalline GeOsN2 at its relaxed geometry (GGA-PBE).

Its crystal system is tetragonal. The value obtained for the formation energy from raw total energies is 0.657 eV per atom. The density of states at the Fermi level comes out at 0.29 states/eV/f.u. The electronic total energy is -7.4679 eV per atom.

The structure belongs to space group I-42d (No. 122); the cell edges are 4.685, 4.685 and 8.672 Å and the angles 90.00°, 90.00° and 90.00°. The distinct sites, in fractional coordinates, are Ge at (0.000, 0.000, 0.000), Os at (0.000, 0.000, 0.500) and N at (0.218, 0.250, 0.125).

# 16
Entry from Alexandria via LeMat-Bulk: crystalline Sc5Sb2Au at its relaxed geometry (GGA-PBE).

Its crystal system is orthorhombic. The value obtained for the formation energy from raw total energies is -0.728 eV per atom. The density of states at the Fermi level comes out at 8.52 states/eV/f.u. The electronic total energy is -6.1255 eV per atom.

The structure belongs to space group Pbam (No. 55); the cell edges are 7.302, 11.308 and 4.452 Å and the angles 90.00°, 90.00° and 90.00°. The distinct sites, in fractional coordinates, are Sc at (0.000, 0.000, 0.000), Sc at (0.155, 0.279, 0.000), Sc at (0.192, 0.567, 0.500), Sb at (0.073, 0.829, 0.500) and Au at (0.000, 0.500, 0.000).

# 17
Entry from Alexandria via LeMat-Bulk: crystalline ZnP at its relaxed geometry (GGA-PBE).

Its crystal system is trigonal. The density of states at the Fermi level comes out at 0.86 states/eV/f.u. The electronic total energy is -3.1965 eV per atom.

The structure belongs to space group P-3m1 (No. 164); the cell edges are 3.7711, 3.7711 and 18.1145 Å and the angles 90.00°, 90.00° and 120.00°. The distinct sites, in fractional coordinates, are Zn at (0.0000, 0.0000, 0.1166), Zn at (0.3333, 0.6667, 0.2924), Zn at (0.3333, 0.6667, 0.4558), P at (0.0000, 0.0000, 0.2436), P at (0.3333, 0.6667, 0.0363) and P at (0.3333, 0.6667, 0.5971).

# 18
Entry from Alexandria via LeMat-Bulk: crystalline Cs3As5S12 at its relaxed geometry (GGA-PBE).

Its crystal system is cubic. The value obtained for the formation energy from raw total energies is -0.169 eV per atom. The density of states at the Fermi level comes out at 3.92 states/eV/f.u. The electronic total energy is -3.9356 eV per atom.

The structure belongs to space group Ia-3d (No. 230); the cell edges are 16.371, 16.371 and 16.371 Å and the angles 90.00°, 90.00° and 90.00°. The distinct sites, in fractional coordinates, are Cs at (0.000, 0.250, 0.125), As at (0.000, 0.000, 0.000), As at (0.000, 0.250, 0.375) and S at (0.047, 0.049, 0.649).

# 19
Entry from Alexandria via LeMat-Bulk: crystalline Ac5Nd2Sm2 at its relaxed geometry (GGA-PBE).

Its crystal system is monoclinic. The density of states at the Fermi level comes out at 13.33 states/eV/f.u. The electronic total energy is -4.2133 eV per atom.

The structure belongs to space group C2/m (No. 12); the cell edges are 10.188, 5.904 and 13.033 Å and the angles 90.00°, 105.23° and 90.00°. The distinct sites, in fractional coordinates, are Ac at (0.000, 0.000, 0.000), Ac at (0.193, 0.000, 0.576), Ac at (0.210, 0.500, 0.132), Nd at (0.076, 0.500, 0.726) and Sm at (0.092, 0.000, 0.280).

# 20
Entry from Alexandria via LeMat-Bulk: crystalline AcSnBi2 at its relaxed geometry (GGA-PBE).

Its crystal system is trigonal. For the energy relative to the lowest polymorph listed for this composition, the calculation gives 165 meV/atom. The density of states at the Fermi level comes out at 2.40 states/eV/f.u. The electronic total energy is -4.3137 eV per atom.

The structure belongs to space group R-3m (No. 166, hexagonal axes); the cell edges are 5.4334, 5.4334 and 16.0989 Å and the angles 90.00°, 90.00° and 120.00°. The distinct sites, in fractional coordinates, are Ac at (0.0000, 0.0000, 0.0000), Sn at (0.0000, 0.0000, 0.5000) and Bi at (0.0000, 0.0000, 0.2264).

# 21
Entry from Alexandria via LeMat-Bulk: crystalline TcNi2Cl at its relaxed geometry (GGA-PBE).

Its crystal system is trigonal. For the energy relative to the lowest polymorph listed for this composition, the calculation gives 71 meV/atom. The value obtained for the formation energy from raw total energies is 0.262 eV per atom. The density of states at the Fermi level comes out at 3.92 states/eV/f.u. The electronic total energy is -5.6815 eV per atom.

The structure belongs to space group R-3m (No. 166, hexagonal axes); the cell edges are 2.8325, 2.8325 and 23.2073 Å and the angles 90.00°, 90.00° and 120.00°. The distinct sites, in fractional coordinates, are Tc at (0.0000, 0.0000, 0.0000), Ni at (0.0000, 0.0000, 0.2483) and Cl at (0.0000, 0.0000, 0.5000).